(1)
## Ac3Th5Pd12 (PBE)

Data for an optimized crystal structure of Ac3Th5Pd12.

Cell lengths 16.7642, 16.7642, 16.7642 Å; angles 90.00, 90.00, 90.00 degrees
With the nearest neighbours (Å) after each atom.
Space group Ia-3d (No. 230)
Inequivalent atoms, fractional coordinates:
Ac: 0.0000 0.2500 0.1250 [24 per cell]  8 Pd 2.98-3.02
Th: 0.0000 0.0000 0.0000 [16 per cell]  6 Pd 2.89
Th: 0.0000 0.2500 0.3750 [24 per cell]  4 Pd 2.81
Pd: 0.0089 0.0748 0.6551 [96 per cell]  2 Th 2.81-2.89, 1 Pd 2.98, 2 Ac 2.98-3.02

N(E_F)   12.20 states/eV/f.u.
Size of the total moment   0.0 μB/cell
Formation energy from the elements   -0.29 eV/atom

=====

(2)
## Ac2ThPd (PBE)

Data for an optimized crystal structure of Ac2ThPd.

Cell lengths 3.8070, 3.8070, 8.9894 Å; angles 90.00, 90.00, 90.00 degrees
With the nearest neighbours (Å) after each atom.
Space group P4/mmm (No. 123)
Inequivalent atoms, fractional coordinates:
Ac: 0.0000 0.0000 0.2087 [2 per cell]  4 Pd 3.28
Th: 0.5000 0.5000 0.5000 [1 per cell]  8 Ac 3.76, 4 Th 3.81
Pd: 0.5000 0.5000 0.0000 [1 per cell]  8 Ac 3.28

N(E_F)   6.11 states/eV/f.u.
Size of the total moment   0.0 μB/cell
Distance to the lowest polymorph of the same formula   0 meV/atom
Formation energy from the elements   -0.25 eV/atom